No. 1
The following is a DFT calculation (GGA-PBE) of an optimized crystal structure of TlCrOs.

The relative energy among the computed polymorphs comes out at 172.2 meV per atom. The energy is -21.0 eV per formula unit. As for the formation energy: 723.2 meV per atom.

The structure belongs to space group P3m1 (No. 156); the cell edges are 2.8935, 2.8935 and 6.8425 Å and the angles 90.00°, 90.00° and 120.00°. The inequivalent atoms are Tl at (0.0000, 0.0000, 0.0000), Cr at (0.3333, 0.6667, 0.3527) and Os at (0.6667, 0.3333, 0.6230).

=====

No. 2
The following is a DFT calculation (GGA-PBE) of an optimized crystal structure of TlCrOs2.

The relative energy among the computed polymorphs comes out at 106.6 meV per atom. The energy is -31.8 eV per formula unit. As for the formation energy: 653.9 meV per atom.

The structure belongs to space group Pmm2 (No. 25); the cell edges are 2.851, 3.847 and 5.955 Å and the angles 90.00°, 90.00° and 90.00°. The inequivalent atoms are Tl at (0.000, 0.000, 0.000), Cr at (0.500, 0.500, 0.275), Os at (0.000, 0.000, 0.502) and Os at (0.500, 0.500, 0.699).

=====

No. 3
The following is a DFT calculation (GGA-PBE) of an optimized crystal structure of Tl3CrOs.

The relative energy among the computed polymorphs comes out at 0.0 meV per atom. The energy is -20.7 eV per formula unit. As for the formation energy: 1452.7 meV per atom.

The structure belongs to space group Pm-3m (No. 221); the cell edges are 5.261, 5.261 and 5.261 Å and the angles 90.00°, 90.00° and 90.00°. The inequivalent atoms are Tl at (0.000, 0.000, 0.500), Cr at (0.500, 0.500, 0.500) and Os at (0.000, 0.000, 0.000).

=====

No. 4
The following is a DFT calculation (GGA-PBE) of an optimized crystal structure of TlCrOs2.

The relative energy among the computed polymorphs comes out at 73.5 meV per atom. The energy is -32.0 eV per formula unit. As for the formation energy: 620.8 meV per atom.

The structure belongs to space group R-3m (No. 166, hexagonal axes); the cell edges are 2.8316, 2.8316 and 27.5896 Å and the angles 90.00°, 90.00° and 120.00°. The inequivalent atoms are Tl at (0.0000, 0.0000, 0.0000), Cr at (0.0000, 0.0000, 0.5000) and Os at (0.0000, 0.0000, 0.2380).

=====

No. 5
The following is a DFT calculation (GGA-PBE) of an optimized crystal structure of TlCrOs2.

The relative energy among the computed polymorphs comes out at 406.1 meV per atom. The energy is -30.6 eV per formula unit. As for the formation energy: 953.4 meV per atom.

The structure belongs to space group Pmmm (No. 47); the cell edges are 3.007, 4.563 and 4.701 Å and the angles 90.00°, 90.00° and 90.00°. The inequivalent atoms are Tl at (0.000, 0.000, 0.000), Cr at (0.500, 0.000, 0.500), Os at (0.000, 0.500, 0.500) and Os at (0.500, 0.500, 0.000).

=====

No. 6
The following is a DFT calculation (GGA-PBE) of an optimized crystal structure of TlCrOs.

The relative energy among the computed polymorphs comes out at 373.6 meV per atom. The energy is -20.4 eV per formula unit. As for the formation energy: 924.6 meV per atom.

The structure belongs to space group F-43m (No. 216); the cell edges are 6.041, 6.041 and 6.041 Å and the angles 90.00°, 90.00° and 90.00°. The inequivalent atoms are Tl at (0.000, 0.000, 0.000), Cr at (0.250, 0.250, 0.250) and Os at (0.000, 0.000, 0.500).

=====

No. 7
The following is a DFT calculation (GGA-PBE) of an optimized crystal structure of Tl2CrOs.

The relative energy among the computed polymorphs comes out at 452.5 meV per atom. The energy is -21.9 eV per formula unit. As for the formation energy: 930.9 meV per atom.

The structure belongs to space group P2/m (No. 10); the cell edges are 4.801, 3.268 and 5.207 Å and the angles 90.00°, 110.13° and 90.00°. The inequivalent atoms are Tl at (0.000, 0.000, 0.000), Tl at (0.000, 0.500, 0.500), Cr at (0.500, 0.000, 0.500) and Os at (0.500, 0.500, 0.000).

=====

No. 8
The following is a DFT calculation (GGA-PBE) of an optimized crystal structure of TlCrOs3.

The relative energy among the computed polymorphs comes out at 0.0 meV per atom. The energy is -37.2 eV per formula unit. As for the formation energy: 1704.6 meV per atom.

The structure belongs to space group Pm-3m (No. 221); the cell edges are 4.511, 4.511 and 4.511 Å and the angles 90.00°, 90.00° and 90.00°. The inequivalent atoms are Tl at (0.000, 0.000, 0.000), Cr at (0.500, 0.500, 0.500) and Os at (0.000, 0.500, 0.500).

=====

No. 9
The following is a DFT calculation (GGA-PBE) of an optimized crystal structure of TlCrOs2.

The relative energy among the computed polymorphs comes out at 315.0 meV per atom. The energy is -31.0 eV per formula unit. As for the formation energy: 862.3 meV per atom.

The structure belongs to space group P4/mmm (No. 123); the cell edges are 4.024, 4.024 and 3.940 Å and the angles 90.00°, 90.00° and 90.00°. The inequivalent atoms are Tl at (0.000, 0.000, 0.000), Cr at (0.500, 0.500, 0.000) and Os at (0.000, 0.500, 0.500).

=====

No. 10
The following is a DFT calculation (GGA-PBE) of an optimized crystal structure of TlCrOs2.

The relative energy among the computed polymorphs comes out at 416.4 meV per atom. The energy is -30.6 eV per formula unit. As for the formation energy: 963.7 meV per atom.

The structure belongs to space group F-43m (No. 216); the cell edges are 6.353, 6.353 and 6.353 Å and the angles 90.00°, 90.00° and 90.00°. The inequivalent atoms are Tl at (0.000, 0.000, 0.000), Cr at (0.250, 0.250, 0.750), Os at (0.000, 0.000, 0.500) and Os at (0.250, 0.250, 0.250).

=====

No. 11
The following is a DFT calculation (GGA-PBE) of an optimized crystal structure of TlCrOs.

The relative energy among the computed polymorphs comes out at 0.0 meV per atom. The energy is -21.6 eV per formula unit. As for the formation energy: 551.0 meV per atom.

The structure belongs to space group I4mm (No. 107); the cell edges are 2.922, 2.922 and 11.764 Å and the angles 90.00°, 90.00° and 90.00°. The inequivalent atoms are Tl at (0.000, 0.000, 0.000), Cr at (0.000, 0.000, 0.313) and Os at (0.000, 0.000, 0.697).

=====

No. 12
The following is a DFT calculation (GGA-PBE) of an optimized crystal structure of Tl2CrOs.

The relative energy among the computed polymorphs comes out at 450.9 meV per atom. The energy is -21.9 eV per formula unit. As for the formation energy: 929.3 meV per atom.

The structure belongs to space group P4/mmm (No. 123); the cell edges are 3.438, 3.438 and 6.459 Å and the angles 90.00°, 90.00° and 90.00°. The inequivalent atoms are Tl at (0.000, 0.000, 0.243), Cr at (0.500, 0.500, 0.500) and Os at (0.500, 0.500, 0.000).

=====

No. 13
The following is a DFT calculation (GGA-PBE) of an optimized crystal structure of Tl2CrOs.

The relative energy among the computed polymorphs comes out at 380.2 meV per atom. The energy is -22.2 eV per formula unit. As for the formation energy: 858.6 meV per atom.

The structure belongs to space group Fm-3m (No. 225); the cell edges are 6.680, 6.680 and 6.680 Å and the angles 90.00°, 90.00° and 90.00°. The inequivalent atoms are Tl at (0.250, 0.250, 0.250), Cr at (0.000, 0.000, 0.000) and Os at (0.000, 0.000, 0.500).

=====

No. 14
The following is a DFT calculation (GGA-PBE) of an optimized crystal structure of Tl2CrOs.

The relative energy among the computed polymorphs comes out at 591.4 meV per atom. The energy is -21.3 eV per formula unit. As for the formation energy: 1069.9 meV per atom.

The structure belongs to space group F-43m (No. 216); the cell edges are 6.785, 6.785 and 6.785 Å and the angles 90.00°, 90.00° and 90.00°. The inequivalent atoms are Tl at (0.000, 0.000, 0.000), Tl at (0.250, 0.250, 0.250), Cr at (0.000, 0.000, 0.500) and Os at (0.250, 0.250, 0.750).

=====

No. 15
The following is a DFT calculation (GGA-PBE) of an optimized crystal structure of TlCrOs2.

The relative energy among the computed polymorphs comes out at 254.3 meV per atom. The energy is -31.2 eV per formula unit. As for the formation energy: 801.6 meV per atom.

The structure belongs to space group Cmmm (No. 65); the cell edges are 2.912, 4.813 and 9.451 Å and the angles 90.00°, 90.00° and 90.00°. The inequivalent atoms are Tl at (0.000, 0.000, 0.000), Cr at (0.000, 0.000, 0.500) and Os at (0.000, 0.500, 0.288).

=====

No. 16
The following is a DFT calculation (GGA-PBE) of an optimized crystal structure of TlCrOs2.

The relative energy among the computed polymorphs comes out at 387.7 meV per atom. The energy is -30.7 eV per formula unit. As for the formation energy: 935.0 meV per atom.

The structure belongs to space group Cmm2 (No. 35); the cell edges are 2.912, 4.897 and 9.274 Å and the angles 90.00°, 90.00° and 90.00°. The inequivalent atoms are Tl at (0.000, 0.000, 0.000), Cr at (0.000, 0.500, 0.731), Os at (0.000, 0.000, 0.515) and Os at (0.000, 0.500, 0.275).

=====

No. 17
The following is a DFT calculation (GGA-PBE) of an optimized crystal structure of Tl2CrOs.

The relative energy among the computed polymorphs comes out at 18.8 meV per atom. The energy is -23.6 eV per formula unit. As for the formation energy: 497.3 meV per atom.

The structure belongs to space group P4mm (No. 99); the cell edges are 3.023, 3.023 and 8.774 Å and the angles 90.00°, 90.00° and 90.00°. The inequivalent atoms are Tl at (0.000, 0.000, 0.000), Tl at (0.500, 0.500, 0.348), Cr at (0.000, 0.000, 0.595) and Os at (0.500, 0.500, 0.735).

=====

No. 18
The following is a DFT calculation (GGA-PBE) of an optimized crystal structure of TlCrOs2.

The relative energy among the computed polymorphs comes out at 395.5 meV per atom. The energy is -30.7 eV per formula unit. As for the formation energy: 942.8 meV per atom.

The structure belongs to space group Cmmm (No. 65); the cell edges are 5.554, 7.888 and 2.924 Å and the angles 90.00°, 90.00° and 90.00°. The inequivalent atoms are Tl at (0.000, 0.000, 0.000), Cr at (0.000, 0.500, 0.000) and Os at (0.250, 0.250, 0.500).

=====

No. 19
The following is a DFT calculation (GGA-PBE) of an optimized crystal structure of TlCrOs2.

The relative energy among the computed polymorphs comes out at 278.1 meV per atom. The energy is -31.1 eV per formula unit. As for the formation energy: 825.4 meV per atom.

The structure belongs to space group Fm-3m (No. 225); the cell edges are 6.317, 6.317 and 6.317 Å and the angles 90.00°, 90.00° and 90.00°. The inequivalent atoms are Tl at (0.000, 0.000, 0.000), Cr at (0.000, 0.000, 0.500) and Os at (0.250, 0.250, 0.250).

=====

No. 20
The following is a DFT calculation (GGA-PBE) of an optimized crystal structure of TlCrOs2.

The relative energy among the computed polymorphs comes out at 181.2 meV per atom. The energy is -31.5 eV per formula unit. As for the formation energy: 728.5 meV per atom.

The structure belongs to space group Cm (No. 8); the cell edges are 9.200, 2.923 and 4.930 Å and the angles 90.00°, 101.04° and 90.00°. The inequivalent atoms are Tl at (0.000, 0.000, 0.000), Cr at (0.236, 0.000, 0.723), Os at (0.000, 0.500, 0.498) and Os at (0.262, 0.500, 0.316).